Entry from Alexandria: a relaxed structure of Nd2MnC2N6 (PBE-GGA).

## Properties
Formation energy (no corrections) (meV/atom): -541
Total energy (eV per atom): -8.460
Calculated volume (Å³ per cell): 236

Geometry as CIF:
```
data_Nd2MnC2N6
_cell_length_a 8.915
_cell_length_b 5.046
_cell_length_c 6.018
_cell_angle_alpha 90.00
_cell_angle_beta 119.50
_cell_angle_gamma 90.00
_symmetry_space_group_name_H-M 'C 1 2/m 1'
_symmetry_Int_Tables_number 12
loop_
_symmetry_equiv_pos_as_xyz
'x,y,z'
'-x,-y,-z'
'-x,y,-z'
'x,-y,z'
'x+1/2,y+1/2,z'
'-x+1/2,-y+1/2,-z'
'-x+1/2,y+1/2,-z'
'x+1/2,-y+1/2,z'
loop_
_atom_site_label
_atom_site_fract_x
_atom_site_fract_y
_atom_site_fract_z
Nd1 0.212 0.000 0.189
Mn1 0.000 0.000 0.500
C1 0.069 0.500 0.274
N1 0.024 0.267 0.767
N2 0.237 0.500 0.337
```